(1)
A plane-wave DFT calculation with PBE was carried out for a relaxed structure of Pr7ErSc2.

Properties
As for the formation energy from the elements: 0.586 eV/atom. The value obtained for the total energy is -89.64 eV per cell. The density is 5.184 g cm⁻³.

Lattice parameters (Å, degrees): 9.088 15.610 5.616 90.00 90.00 90.00
Space group Cmmm (No. 65)
One atom of each set of equivalent atoms:
Pr (0.000, 0.000, 0.000)
Pr (0.000, 0.252, 0.500)
Pr (0.183, 0.379, 0.000)
Er (0.000, 0.500, 0.500)
Sc (0.000, 0.202, 0.000)

(2)
A plane-wave DFT calculation with PBE was carried out for a relaxed structure of MgNb3P.

Properties
As for the formation energy from the elements: 1.802 eV/atom. The value obtained for the total energy is -28.20 eV per cell. The density is 5.296 g cm⁻³.

Lattice parameters (Å, degrees): 4.713 4.713 4.713 90.00 90.00 90.00
Space group Pm-3m (No. 221)
One atom of each set of equivalent atoms:
Mg (0.000, 0.000, 0.000)
Nb (0.000, 0.000, 0.500)
P (0.500, 0.500, 0.500)

(3)
A plane-wave DFT calculation with PBE was carried out for a relaxed structure of BeBiMo3.

Properties
As for the formation energy from the elements: 0.820 eV/atom. The value obtained for the total energy is -36.00 eV per cell. The density is 10.053 g cm⁻³.

Lattice parameters (Å, degrees): 4.372 4.372 4.372 90.00 90.00 90.00
Space group Pm-3m (No. 221)
One atom of each set of equivalent atoms:
Be (0.000, 0.000, 0.000)
Bi (0.500, 0.500, 0.500)
Mo (0.000, 0.000, 0.500)

(4)
A plane-wave DFT calculation with PBE was carried out for a relaxed structure of KTa2Mo.

Properties
As for the formation energy from the elements: 1.285 eV/atom. The value obtained for the total energy is -60.99 eV per cell. The density is 10.366 g cm⁻³.

Lattice parameters (Å, degrees): 6.269 10.182 2.691 90.00 112.02 90.00
Space group C2/m (No. 12)
One atom of each set of equivalent atoms:
K (0.000, 0.000, 0.000)
Ta (0.250, 0.250, 0.500)
Mo (0.000, 0.500, 0.000)

(5)
A plane-wave DFT calculation with PBE was carried out for a relaxed structure of SrSm2Ni.

Properties
As for the formation energy from the elements: -0.079 eV/atom. The value obtained for the total energy is -51.66 eV per cell. The density is 5.335 g cm⁻³.

Lattice parameters (Å, degrees): 4.0995 4.0995 28.6823 90.00 90.00 120.00
Space group R3m (No. 160, hexagonal axes)
One atom of each set of equivalent atoms:
Sr (0.0000, 0.0000, 0.0000)
Sm (0.0000, 0.0000, 0.2179)
Sm (0.0000, 0.0000, 0.4515)
Ni (0.0000, 0.0000, 0.8348)

(6)
A plane-wave DFT calculation with PBE was carried out for a relaxed structure of SrZrZn2.

Properties
As for the formation energy from the elements: 0.099 eV/atom. The value obtained for the total energy is -24.77 eV per cell. The density is 5.715 g cm⁻³.

Lattice parameters (Å, degrees): 11.722 3.321 5.117 90.00 115.39 90.00
Space group Cm (No. 8)
One atom of each set of equivalent atoms:
Sr (0.000, 0.000, 0.000)
Zr (0.210, 0.000, 0.705)
Zn (0.270, 0.500, 0.265)
Zn (0.462, 0.000, 0.464)

(7)
A plane-wave DFT calculation with PBE was carried out for a relaxed structure of Sm2Y4HoMg.

Properties
As for the formation energy from the elements: 0.026 eV/atom. The value obtained for the total energy is -41.26 eV per cell. The density is 5.572 g cm⁻³.

Lattice parameters (Å, degrees): 4.992 4.992 10.112 90.00 90.00 90.00
Space group P4/mmm (No. 123)
One atom of each set of equivalent atoms:
Sm (0.000, 0.000, 0.000)
Sm (0.500, 0.500, 0.500)
Y (0.000, 0.500, 0.249)
Ho (0.000, 0.000, 0.500)
Mg (0.500, 0.500, 0.000)

(8)
A plane-wave DFT calculation with PBE was carried out for a relaxed structure of Ti7Zn.

Properties
As for the formation energy from the elements: -0.032 eV/atom. The value obtained for the total energy is -113.59 eV per cell. The density is 4.957 g cm⁻³.

Lattice parameters (Å, degrees): 4.045 4.045 16.397 90.00 90.00 90.00
Space group I4/mmm (No. 139)
One atom of each set of equivalent atoms:
Ti (0.000, 0.000, 0.000)
Ti (0.000, 0.000, 0.250)
Ti (0.000, 0.500, 0.124)
Zn (0.000, 0.000, 0.500)

(9)
A plane-wave DFT calculation with PBE was carried out for a relaxed structure of SrBeBr2.

Properties
The raw formation energy comes out at -0.640 eV per atom. The value obtained for the total energy is -45.26 eV per cell. The density is 3.809 g cm⁻³.

Lattice parameters (Å, degrees): 7.647 7.647 7.647 90.00 90.00 90.00
Space group Fm-3m (No. 225)
One atom of each set of equivalent atoms:
Sr (0.000, 0.000, 0.000)
Be (0.000, 0.000, 0.500)
Br (0.250, 0.250, 0.250)

(10)
A plane-wave DFT calculation with PBE was carried out for a relaxed structure of Tb5ZrRh6.

Properties
As for the formation energy from the elements: -0.830 eV/atom. The value obtained for the total energy is -171.54 eV per cell. The density is 10.409 g cm⁻³.

Lattice parameters (Å, degrees): 15.113 6.989 4.785 90.00 108.40 90.00
Space group C2/m (No. 12)
One atom of each set of equivalent atoms:
Tb (0.000, 0.000, 0.000)
Tb (0.166, 0.000, 0.665)
Tb (0.168, 0.500, 0.668)
Zr (0.000, 0.500, 0.000)
Rh (0.000, 0.268, 0.500)
Rh (0.160, 0.259, 0.160)

(11)
A plane-wave DFT calculation with PBE was carried out for a relaxed structure of KZrHg2.

Properties
As for the formation energy from the elements: 0.523 eV/atom. The value obtained for the total energy is -32.62 eV per cell. The density is 8.944 g cm⁻³.

Lattice parameters (Å, degrees): 7.336 7.336 7.336 90.00 90.00 90.00
Space group F-43m (No. 216)
One atom of each set of equivalent atoms:
K (0.000, 0.000, 0.000)
Zr (0.250, 0.250, 0.250)
Hg (0.000, 0.000, 0.500)
Hg (0.250, 0.250, 0.750)

(12)
A plane-wave DFT calculation with PBE was carried out for a relaxed structure of Tl2ReSi.

Properties
The raw formation energy comes out at 1.155 eV per atom. The value obtained for the total energy is -35.96 eV per cell. The density is 13.114 g cm⁻³.

Lattice parameters (Å, degrees): 4.206 4.206 8.921 90.00 90.00 90.00
Space group I4/mmm (No. 139)
One atom of each set of equivalent atoms:
Tl (0.000, 0.500, 0.250)
Re (0.000, 0.000, 0.000)
Si (0.000, 0.000, 0.500)

(13)
A plane-wave DFT calculation with PBE was carried out for a relaxed structure of Dy2BeRh.

Properties
As for the formation energy from the elements: -0.376 eV/atom. The value obtained for the total energy is -87.14 eV per cell. The density is 9.013 g cm⁻³.

Lattice parameters (Å, degrees): 6.854 6.854 6.854 90.00 90.00 90.00
Space group Fm-3m (No. 225)
One atom of each set of equivalent atoms:
Dy (0.250, 0.250, 0.250)
Be (0.000, 0.000, 0.000)
Rh (0.000, 0.000, 0.500)

(14)
A plane-wave DFT calculation with PBE was carried out for a relaxed structure of HoSiN.

Properties
The raw formation energy comes out at -0.964 eV per atom. The value obtained for the total energy is -84.87 eV per cell. The density is 7.970 g cm⁻³.

Lattice parameters (Å, degrees): 4.977 4.982 6.958 90.00 90.03 90.00
Space group C2/m (No. 12)
One atom of each set of equivalent atoms:
Ho (0.249, 0.000, 0.166)
Si (0.250, 0.000, 0.563)
N (0.250, 0.000, 0.824)

(15)
A plane-wave DFT calculation with PBE was carried out for a relaxed structure of Ba5Na2Ca4.

Properties
As for the formation energy from the elements: 0.039 eV/atom. The value obtained for the total energy is -39.66 eV per cell. The density is 2.632 g cm⁻³.

Lattice parameters (Å, degrees): 10.623 23.596 4.494 90.00 90.00 90.00
Space group Pbam (No. 55)
One atom of each set of equivalent atoms:
Ba (0.000, 0.000, 0.000)
Ba (0.126, 0.428, 0.000)
Ba (0.227, 0.216, 0.000)
Na (0.019, 0.306, 0.500)
Ca (0.080, 0.852, 0.500)
Ca (0.213, 0.570, 0.500)

(16)
A plane-wave DFT calculation with PBE was carried out for a relaxed structure of Sr2SiTe2.

Properties
The raw formation energy comes out at -0.795 eV per atom. The value obtained for the total energy is -38.09 eV per cell. The density is 4.676 g cm⁻³.

Lattice parameters (Å, degrees): 8.582 8.582 4.421 90.00 90.00 90.00
Space group P4/mbm (No. 127)
One atom of each set of equivalent atoms:
Sr (0.156, 0.344, 0.000)
Si (0.000, 0.000, 0.500)
Te (0.156, 0.656, 0.500)

(17)
A plane-wave DFT calculation with PBE was carried out for a relaxed structure of Pm2Ga4NiRh3.

Properties
As for the formation energy from the elements: -0.729 eV/atom. The value obtained for the total energy is -56.73 eV per cell. The density is 8.483 g cm⁻³.

Lattice parameters (Å, degrees): 4.222 4.222 10.283 90.00 90.00 90.00
Space group P-4m2 (No. 115)
One atom of each set of equivalent atoms:
Pm (0.000, 0.500, 0.242)
Ga (0.000, 0.000, 0.500)
Ga (0.000, 0.500, 0.876)
Ga (0.500, 0.500, 0.500)
Ni (0.500, 0.500, 0.000)
Rh (0.000, 0.000, 0.000)
Rh (0.000, 0.500, 0.634)

(18)
A plane-wave DFT calculation with PBE was carried out for a relaxed structure of Ac2La15Nd2.

Properties
As for the formation energy from the elements: 0.170 eV/atom. The value obtained for the total energy is -265.28 eV per cell. The density is 6.503 g cm⁻³.

Lattice parameters (Å, degrees): 11.7731 11.7731 18.0356 90.00 90.00 120.00
Space group R-3m (No. 166, hexagonal axes)
One atom of each set of equivalent atoms:
Ac (0.0000, 0.0000, 0.1681)
La (0.0000, 0.2972, 0.5000)
La (0.0000, 0.5000, 0.0000)
La (0.0107, 0.5054, 0.6416)
Nd (0.0000, 0.0000, 0.4088)

(19)
A plane-wave DFT calculation with PBE was carried out for a relaxed structure of TeIrOs.

Properties
The raw formation energy comes out at 1.000 eV per atom. The value obtained for the total energy is -80.93 eV per cell. The density is 15.779 g cm⁻³.

Lattice parameters (Å, degrees): 2.873 5.098 14.660 90.00 90.00 90.00
Space group Fmm2 (No. 42)
One atom of each set of equivalent atoms:
Te (0.000, 0.000, 0.000)
Ir (0.000, 0.000, 0.321)
Os (0.000, 0.000, 0.672)